# Na2CoIrO4

A relaxed structure of Na2CoIrO4 (PBE+U, Alexandria via LeMat-Bulk).

Structure (CIF):
```
data_Na2CoIrO4
_space_group_name_H-M_alt 'P 1 2/m 1'
_space_group_IT_number 10
_space_group_name_Hall '-P 2y'
_cell_length_a 5.346
_cell_length_b 3.089
_cell_length_c 5.455
_cell_angle_alpha 90.00
_cell_angle_beta 108.91
_cell_angle_gamma 90.00
loop_
_atom_site_label
_atom_site_fract_x
_atom_site_fract_y
_atom_site_fract_z
_atom_site_occupancy
Na1 0.000 0.000 0.000 1
Na2 0.500 0.500 0.000 1
Co1 0.000 0.500 0.500 1
Ir1 0.500 0.000 0.500 1
O1 0.218 0.000 0.691 1
O2 0.253 0.500 0.308 1
```

Computed properties:
Magnetic moment = 0.00 μB/f.u.
DFT total energy = -5.6579 eV/atom